Model i:
# TaVPt2 | Alexandria via LeMat-Bulk | PBE | optimized geometry
# - space group = P4/mmm (123)
data_TaVPt2
_space_group_name_H-M_alt 'P 1'
_space_group_IT_number 1
_cell_length_a 4.049
_cell_length_b 3.897
_cell_length_c 3.897
_cell_angle_alpha 90.00
_cell_angle_beta 90.00
_cell_angle_gamma 90.00
loop_
_space_group_symop_operation_xyz
'x,y,z'
loop_
_atom_site_label
_atom_site_type_symbol
_atom_site_fract_x
_atom_site_fract_y
_atom_site_fract_z
V1 V 0.500 0.000 0.000
Ta1 Ta 0.500 0.500 0.500
Pt1 Pt 0.000 0.000 0.500
Pt2 Pt 0.000 0.500 0.000



Model ii:
# TaVPt2 | Alexandria via LeMat-Bulk | PBE | optimized geometry
# - space group = I-42d (122)
data_TaVPt2
_space_group_name_H-M_alt 'P 1'
_space_group_IT_number 1
_cell_length_a 7.074
_cell_length_b 7.074
_cell_length_c 5.685
_cell_angle_alpha 51.52
_cell_angle_beta 51.52
_cell_angle_gamma 90.00
loop_
_space_group_symop_operation_xyz
'x,y,z'
loop_
_atom_site_label
_atom_site_type_symbol
_atom_site_fract_x
_atom_site_fract_y
_atom_site_fract_z
Ta1 Ta 0.000 0.000 0.000
Pt1 Pt 0.375 0.391 0.750
Ta2 Ta 0.750 0.250 0.500
Pt2 Pt 0.875 0.859 0.750
Pt3 Pt 0.609 0.125 0.250
V1 V 0.250 0.750 0.500
Pt4 Pt 0.141 0.625 0.250
V2 V 0.500 0.500 0.000



The winner here is model i, beating the second structure by 53.0 kJ/mol of atoms.